[1]
Below is a relaxed structure of In5Hg12F3, with properties calculated at the PBE level.

symmetry: No. 230

Cell and atoms, written as POSCAR:
```
In5Hg12F3
1.0
-8.4153 8.4153 8.4153
8.4153 -8.4153 8.4153
8.4153 8.4153 -8.4153
In Hg F
20 48 12
direct
0.0000 0.0000 0.0000
0.0000 0.0000 0.5000
0.0000 0.5000 0.0000
0.0000 0.5000 0.5000
0.1250 0.7500 0.8750
0.1250 0.8750 0.2500
0.2500 0.1250 0.8750
0.2500 0.6250 0.3750
0.3750 0.2500 0.6250
0.3750 0.6250 0.7500
0.5000 0.0000 0.0000
0.5000 0.0000 0.5000
0.5000 0.5000 0.0000
0.5000 0.5000 0.5000
0.6250 0.3750 0.2500
0.6250 0.7500 0.3750
0.7500 0.3750 0.6250
0.7500 0.8750 0.1250
0.8750 0.1250 0.7500
0.8750 0.2500 0.1250
0.0501 0.6270 0.3792
0.0501 0.9231 0.6709
0.0769 0.2478 0.1270
0.0769 0.3291 0.9499
0.1208 0.7478 0.6709
0.1208 0.8730 0.4499
0.1270 0.0769 0.2478
0.1270 0.5501 0.8792
0.1709 0.2478 0.6208
0.1709 0.4231 0.5501
0.2478 0.1270 0.0769
0.2478 0.6208 0.1709
0.2522 0.3291 0.8792
0.2522 0.4231 0.3730
0.3291 0.8792 0.2522
0.3291 0.9499 0.0769
0.3730 0.2522 0.4231
0.3730 0.6208 0.9499
0.3792 0.0501 0.6270
0.3792 0.8291 0.7522
0.4231 0.3730 0.2522
0.4231 0.5501 0.1709
0.4499 0.1208 0.8730
0.4499 0.8291 0.5769
0.5501 0.1709 0.4231
0.5501 0.8792 0.1270
0.5769 0.4499 0.8291
0.5769 0.6270 0.7478
0.6208 0.1709 0.2478
0.6208 0.9499 0.3730
0.6270 0.3792 0.0501
0.6270 0.7478 0.5769
0.6709 0.0501 0.9231
0.6709 0.1208 0.7478
0.7478 0.5769 0.6270
0.7478 0.6709 0.1208
0.7522 0.3792 0.8291
0.7522 0.8730 0.9231
0.8291 0.5769 0.4499
0.8291 0.7522 0.3792
0.8730 0.4499 0.1208
0.8730 0.9231 0.7522
0.8792 0.1270 0.5501
0.8792 0.2522 0.3291
0.9231 0.6709 0.0501
0.9231 0.7522 0.8730
0.9499 0.0769 0.3291
0.9499 0.3730 0.6208
0.1250 0.2500 0.3750
0.1250 0.3750 0.7500
0.2500 0.3750 0.1250
0.2500 0.8750 0.6250
0.3750 0.1250 0.2500
0.3750 0.7500 0.1250
0.6250 0.2500 0.8750
0.6250 0.8750 0.7500
0.7500 0.1250 0.3750
0.7500 0.6250 0.8750
0.8750 0.6250 0.2500
0.8750 0.7500 0.6250
```

=====

[2]
Below is a relaxed structure of In2HgIrF, with properties calculated at the PBE level.

symmetry: No. 123

Cell and atoms, written as POSCAR:
```
In2HgIrF
1.0
5.3039 0.0000 0.0000
0.0000 5.3039 0.0000
0.0000 0.0000 4.2226
In Hg Ir F
2 1 1 1
direct
0.0000 0.5000 0.0000
0.5000 0.0000 0.0000
0.0000 0.0000 0.5000
0.5000 0.5000 0.0000
0.5000 0.5000 0.5000
```

=====

[3]
Below is a relaxed structure of K2InHgF6, with properties calculated at the PBE level.

ΔE to the lowest computed polymorph: 0 meV per atom
symmetry: No. 59

Cell and atoms, written as POSCAR:
```
K2InHgF6
1.0
6.2693 0.0000 0.0000
0.0000 9.1578 0.0000
0.0000 0.0000 6.9126
K In Hg F
4 2 2 12
direct
0.2500 0.0326 0.1929
0.2500 0.4674 0.1929
0.7500 0.5326 0.8071
0.7500 0.9674 0.8071
0.2500 0.7500 0.7902
0.7500 0.2500 0.2098
0.2500 0.2500 0.7017
0.7500 0.7500 0.2983
0.0059 0.2500 0.4058
0.0136 0.7500 0.0109
0.2500 0.5195 0.8041
0.2500 0.9805 0.8041
0.4864 0.7500 0.0109
0.4941 0.2500 0.4058
0.5059 0.7500 0.5942
0.5136 0.2500 0.9891
0.7500 0.0195 0.1959
0.7500 0.4805 0.1959
0.9864 0.2500 0.9891
0.9941 0.7500 0.5942
```

=====

[4]
Below is a relaxed structure of KInHgF6, with properties calculated at the PBE level.

symmetry: No. 163

Cell and atoms, written as POSCAR:
```
KInHgF6
1.0
6.0398 0.0000 0.0000
-3.0199 5.2306 0.0000
0.0000 0.0000 10.7049
K In Hg F
2 2 2 12
direct
0.0000 0.0000 0.0000
0.0000 0.0000 0.5000
0.3333 0.6667 0.2500
0.6667 0.3333 0.7500
0.3333 0.6667 0.7500
0.6667 0.3333 0.2500
0.0290 0.3829 0.1427
0.0290 0.6461 0.3573
0.3539 0.3829 0.3573
0.3539 0.9710 0.1427
0.3829 0.0290 0.6427
0.3829 0.3539 0.8573
0.6171 0.6461 0.1427
0.6171 0.9710 0.3573
0.6461 0.0290 0.8573
0.6461 0.6171 0.6427
0.9710 0.3539 0.6427
0.9710 0.6171 0.8573
```

=====

Number 1: electronic total energy -114.7 eV/cell, formation energy without anion corrections -0.287 eV/atom. Number 2: electronic total energy -17.7 eV/cell, formation energy without anion corrections -0.228 eV/atom. Number 3: electronic total energy -78.7 eV/cell, formation energy without anion corrections -2.290 eV/atom. Number 4: electronic total energy -71.4 eV/cell, formation energy without anion corrections -2.259 eV/atom.